DFT (GGA-PBE) results for LuMgAsO after structural relaxation.

```
data_LuMgAsO
_symmetry_space_group_name_H-M 'P 1'
_symmetry_Int_Tables_number 1
_symmetry_space_group_name_Hall 'P 1'
_cell_length_a 3.992
_cell_length_b 3.992
_cell_length_c 8.829
_cell_angle_alpha 90.00
_cell_angle_beta 90.00
_cell_angle_gamma 90.00
loop_
_atom_site_label
_atom_site_type_symbol
_atom_site_fract_x
_atom_site_fract_y
_atom_site_fract_z
Lu1 Lu 0.250 0.250 0.110
Lu2 Lu 0.750 0.750 0.890
Mg1 Mg 0.250 0.750 0.500
Mg2 Mg 0.750 0.250 0.500
As1 As 0.250 0.250 0.693
As2 As 0.750 0.750 0.307
O1 O 0.250 0.750 0.000
O2 O 0.750 0.250 0.000
```

ΔE to the lowest computed polymorph = 0.0 kJ per mole of atoms
calculated volume = 70 Å³/f.u.
crystal system = tetragonal
space-group type = P4/nmm, No. 129

=====

DFT (GGA-PBE) results for Rb2NiAuBr6 after structural relaxation.

```
data_Rb2NiAuBr6
_symmetry_space_group_name_H-M 'P 1'
_symmetry_Int_Tables_number 1
_symmetry_space_group_name_Hall 'P 1'
_cell_length_a 7.671
_cell_length_b 7.671
_cell_length_c 7.671
_cell_angle_alpha 122.39
_cell_angle_beta 122.39
_cell_angle_gamma 85.90
loop_
_atom_site_label
_atom_site_type_symbol
_atom_site_fract_x
_atom_site_fract_y
_atom_site_fract_z
Rb1 Rb 0.250 0.750 0.500
Rb2 Rb 0.750 0.250 0.500
Ni1 Ni 0.000 0.000 0.000
Au1 Au 0.500 0.500 0.000
Br1 Br 0.213 0.213 0.000
Br2 Br 0.250 0.250 0.500
Br3 Br 0.250 0.750 0.000
Br4 Br 0.750 0.250 0.000
Br5 Br 0.750 0.750 0.500
Br6 Br 0.787 0.787 0.000
```

ΔE to the lowest computed polymorph = 0.0 kJ per mole of atoms
calculated volume = 307 Å³/f.u.
crystal system = tetragonal
space-group type = I4/mmm, No. 139

=====

DFT (GGA-PBE) results for FeCoSbPd after structural relaxation.

```
data_FeCoSbPd
_symmetry_space_group_name_H-M 'P 1'
_symmetry_Int_Tables_number 1
_symmetry_space_group_name_Hall 'P 1'
_cell_length_a 4.389
_cell_length_b 4.389
_cell_length_c 4.389
_cell_angle_alpha 60.00
_cell_angle_beta 60.00
_cell_angle_gamma 60.00
loop_
_atom_site_label
_atom_site_type_symbol
_atom_site_fract_x
_atom_site_fract_y
_atom_site_fract_z
Fe1 Fe 0.000 0.000 0.000
Co1 Co 0.750 0.750 0.750
Sb1 Sb 0.500 0.500 0.500
Pd1 Pd 0.250 0.250 0.250
```

ΔE to the lowest computed polymorph = 0.0 kJ per mole of atoms
calculated volume = 60 Å³/f.u.
crystal system = cubic
space-group type = F-43m, No. 216

=====

DFT (GGA-PBE) results for Li2MgAg2SnAu2 after structural relaxation.

```
data_Li2MgAg2SnAu2
_symmetry_space_group_name_H-M 'P 1'
_symmetry_Int_Tables_number 1
_symmetry_space_group_name_Hall 'P 1'
_cell_length_a 4.629
_cell_length_b 4.629
_cell_length_c 6.579
_cell_angle_alpha 90.00
_cell_angle_beta 90.00
_cell_angle_gamma 90.00
loop_
_atom_site_label
_atom_site_type_symbol
_atom_site_fract_x
_atom_site_fract_y
_atom_site_fract_z
Li1 Li 0.000 0.000 0.000
Li2 Li 0.500 0.500 0.500
Mg1 Mg 0.000 0.000 0.500
Ag1 Ag 0.000 0.500 0.740
Ag2 Ag 0.500 0.000 0.260
Sn1 Sn 0.500 0.500 0.000
Au1 Au 0.000 0.500 0.265
Au2 Au 0.500 0.000 0.735
```

energy = -0.2264 Ry/atom
calculated volume = 141 Å³/f.u.
crystal system = tetragonal
space-group type = P-4m2, No. 115